Here is Ho3HfTl3S8 after structural relaxation from Alexandria. Energies are from PBE.

Summary:
SG   R-3m
Calculated density   6.31 g/cm³
E   -5.7699 eV/atom
ΔE_f (raw)   -1516 meV per atom

Cell lengths 7.8534, 7.8527, 8.8581 Å; angles 116.33, 90.00, 120.00 degrees
Positions (direct):
S 0.2210 0.9691 0.6900
S 0.2210 0.4420 0.6900
S 0.2677 0.5354 0.3032
S 0.2519 0.0309 0.3100
S 0.7790 0.0309 0.3100
S 0.7481 0.9691 0.6900
S 0.7790 0.5580 0.3100
S 0.7323 0.4646 0.6968
Hf 0.0000 0.0000 0.5000
Tl 0.0000 0.5000 0.0000
Tl 0.0000 0.0000 0.0000
Tl 0.5000 0.5000 0.0000
Ho 0.5000 0.0000 0.5000
Ho 0.0000 0.5000 0.5000
Ho 0.5000 0.5000 0.5000